Computed, not measured: a relaxed FePAu2 crystal at the GGA-PBEsol level of DFT.

The calculation puts the mass density at 13.081 Mg/m³. The value obtained for the formation energy is 0.339 eV per atom. The calculation puts the density of states at the Fermi level at 1.112 states/eV/atom. The spin magnetization comes out at 3.12 Bohr magnetons per cell.

The space group is P4/mmm (No. 123) and the conventional cell measures 3.828, 3.828 and 4.166 Å, with angles of 90.00, 90.00 and 90.00 degrees. The inequivalent atoms are Fe at (0.000, 0.000, 0.000), P at (0.500, 0.500, 0.000) and Au at (0.000, 0.500, 0.500).